[1]
ThSi3Tc (GGA-PBE, relaxed); energy relative to the lowest polymorph listed for this composition = 0.00 eV per formula unit; E_form (uncorrected) = -2.21 eV/f.u.; space-group type = Pmn2_1 (31); N(E_F) = 6.9 states/eV/cell
1.0
6.022 0.000 0.000
0.000 5.630 0.000
0.000 0.000 5.786
Th Si Tc
2 6 2
direct
0.000 0.161 0.000
0.500 0.839 0.500
0.000 0.957 0.512
0.214 0.331 0.499
0.286 0.669 0.999
0.500 0.043 0.012
0.714 0.669 0.999
0.786 0.331 0.499
0.000 0.620 0.280
0.500 0.380 0.780

[2]
AcMgGa2Au2 (GGA-PBE, relaxed); space-group type = P-3m1 (164); calculated formation energy = -639 meV per atom; N(E_F) = 2.2 states/eV/cell
1.0
4.521 0.000 0.000
-2.260 3.915 0.000
0.000 0.000 7.521
Ac Mg Ga Au
1 1 2 2
direct
0.000 0.000 0.000
0.000 0.000 0.500
0.333 0.667 0.293
0.667 0.333 0.707
0.333 0.667 0.688
0.667 0.333 0.312

[3]
Na2CdB (GGA-PBE, relaxed); energy relative to the lowest polymorph listed for this composition = 0.00 eV per formula unit; space-group type = I-42d (122); calculated formation energy = 536 meV per atom; N(E_F) = 5.2 states/eV/cell
1.0
-5.416 5.416 2.129
5.416 -5.416 2.129
5.416 5.416 -2.129
Na Cd B
4 2 2
direct
0.375 0.119 0.244
0.869 0.625 0.744
0.875 0.131 0.756
0.881 0.125 0.256
0.250 0.750 0.500
0.500 0.500 0.000
0.000 0.000 0.000
0.750 0.250 0.500

[4]
Er2GaAu8 (GGA-PBE, relaxed); space-group type = C2/m (12); calculated formation energy = -519 meV per atom; N(E_F) = 5.2 states/eV/cell
1.0
7.357 -2.494 0.000
7.357 2.494 0.000
-3.008 0.000 5.949
Er Ga Au
2 1 8
direct
0.202 0.202 0.201
0.798 0.798 0.799
0.500 0.500 0.500
0.000 0.000 0.225
0.000 0.000 0.775
0.175 0.175 0.675
0.374 0.374 0.662
0.375 0.375 0.085
0.625 0.625 0.915
0.626 0.626 0.338
0.825 0.825 0.325

[5]
Ac8GaCo3I4 (GGA-PBE, relaxed); E_form (uncorrected) = -10.03 eV/f.u.; space-group type = R-3m (166); N(E_F) = 11.1 states/eV/cell
1.0
4.399 2.540 8.535
-4.399 2.540 8.535
0.000 -5.079 8.535
Ac Ga Co I
8 1 3 4
direct
0.207 0.737 0.737
0.229 0.229 0.229
0.263 0.263 0.793
0.263 0.793 0.263
0.737 0.207 0.737
0.737 0.737 0.207
0.771 0.771 0.771
0.793 0.263 0.263
0.500 0.500 0.500
0.000 0.000 0.500
0.000 0.500 0.000
0.500 0.000 0.000
0.000 0.000 0.000
0.000 0.500 0.500
0.500 0.000 0.500
0.500 0.500 0.000

[6]
RbTaHg (GGA-PBE, relaxed); energy relative to the lowest polymorph listed for this composition = 1.16 eV per formula unit; space-group type = Pnma (62); calculated formation energy = 736 meV per atom; N(E_F) = 4.2 states/eV/cell
1.0
13.630 0.000 0.000
0.000 5.383 0.000
0.000 0.000 5.287
Rb Ta Hg
4 4 4
direct
0.250 0.250 0.246
0.250 0.750 0.746
0.750 0.250 0.254
0.750 0.750 0.754
0.000 0.250 0.503
0.000 0.750 0.497
0.500 0.250 0.997
0.500 0.750 0.003
0.000 0.000 0.000
0.000 0.500 0.000
0.500 0.000 0.500
0.500 0.500 0.500

[7]
CrRuN (GGA-PBE, relaxed); energy relative to the lowest polymorph listed for this composition = 0.20 eV per formula unit; E_form (uncorrected) = -0.21 eV/f.u.; space-group type = Pm (6); N(E_F) = 4.6 states/eV/cell
1.0
4.471 0.000 0.000
0.000 2.670 0.000
-0.369 0.000 5.280
Cr Ru N
2 2 2
direct
0.000 0.000 0.000
0.477 0.000 0.748
0.021 0.500 0.445
0.495 0.000 0.273
0.320 0.500 0.990
0.797 0.500 0.766

[8]
ScAl11Cr (GGA-PBE, relaxed); space-group type = C2/m (12); calculated formation energy = -105 meV per atom; N(E_F) = 6.0 states/eV/cell
1.0
2.579 -6.354 0.000
2.579 6.354 0.000
-2.483 0.000 6.548
Sc Al Cr
1 11 1
direct
0.000 0.000 0.000
0.000 0.000 0.500
0.000 0.500 0.000
0.024 0.367 0.360
0.292 0.502 0.781
0.367 0.024 0.360
0.498 0.708 0.219
0.500 0.000 0.000
0.502 0.292 0.781
0.633 0.976 0.640
0.708 0.498 0.219
0.976 0.633 0.640
0.500 0.500 0.500

[9]
CaCdAu3 (GGA-PBE, relaxed); energy relative to the lowest polymorph listed for this composition = 2.29 eV per formula unit; space-group type = Pm-3m (221); calculated formation energy = -20 meV per atom; N(E_F) = 1.9 states/eV/cell
1.0
5.181 0.000 0.000
0.000 5.181 0.000
0.000 0.000 5.181
Ca Cd Au
1 1 3
direct
0.000 0.000 0.000
0.500 0.500 0.500
0.000 0.500 0.500
0.500 0.000 0.500
0.500 0.500 0.000

[10]
Al2FeHg (GGA-PBE, relaxed); space-group type = C2/m (12); calculated formation energy = 123 meV per atom; N(E_F) = 2.0 states/eV/cell
1.0
4.370 -1.531 0.000
4.370 1.531 0.000
-1.073 0.000 4.810
Al Fe Hg
2 1 1
direct
0.231 0.231 0.206
0.769 0.769 0.794
0.500 0.500 0.000
0.000 0.000 0.500

[11]
TiAgAu2 (GGA-PBE, relaxed); energy relative to the lowest polymorph listed for this composition = 0.45 eV per formula unit; space-group type = R-3m (166); calculated formation energy = -130 meV per atom; N(E_F) = 2.6 states/eV/cell
1.0
1.491 0.861 9.236
-1.491 0.861 9.236
0.000 -1.721 9.236
Ti Ag Au
1 1 2
direct
0.000 0.000 0.000
0.500 0.500 0.500
0.254 0.254 0.254
0.746 0.746 0.746

[12]
Sr3SnN (GGA-PBE, relaxed); E_form (uncorrected) = -2.57 eV/f.u.; space-group type = C2/c (15); N(E_F) = 7.9 states/eV/cell
1.0
6.805 -7.082 0.000
6.805 7.082 0.000
-0.360 0.000 6.538
Sr Sn N
12 4 4
direct
0.055 0.768 0.928
0.194 0.580 0.434
0.232 0.945 0.572
0.326 0.464 0.914
0.420 0.806 0.066
0.464 0.326 0.414
0.536 0.674 0.586
0.580 0.194 0.934
0.674 0.536 0.086
0.768 0.055 0.428
0.806 0.420 0.566
0.945 0.232 0.072
0.110 0.253 0.584
0.253 0.110 0.084
0.747 0.890 0.916
0.890 0.747 0.416
0.282 0.718 0.750
0.428 0.572 0.250
0.572 0.428 0.750
0.718 0.282 0.250